Material: GdPaTc
Method: DFT, PBE
State: optimized geometry

ΔE_f   924 meV per atom
Raw total energy   -7.25 eV per atom
Magnetization   0.01 μB per formula unit

Unit cell a=6.5968 b=6.5968 c=6.5968 alpha=90.00 beta=90.00 gamma=90.00
Last column: nearest neighbours and their distance in Å.
Space group F-43m (No. 216)
Unique sites:
1 Gd 0.0000 0.0000 0.0000 (multiplicity 4)  4 Tc 2.86, 4 Pa 2.86
2 Pa 0.2500 0.2500 0.7500 (multiplicity 4)  4 Gd 2.86
3 Tc 0.2500 0.2500 0.2500 (multiplicity 4)  4 Gd 2.86



Material: UTaSi
Method: DFT, PBE
State: optimized geometry

Raw total energy   -9.15 eV per atom
Magnetization   1.90 μB per formula unit

Unit cell a=6.3089 b=6.3089 c=6.3089 alpha=90.00 beta=90.00 gamma=90.00
Last column: nearest neighbours and their distance in Å.
Space group F-43m (No. 216)
Unique sites:
1 U 0.0000 0.0000 0.0000 (multiplicity 4)  4 Si 2.73
2 Ta 0.0000 0.0000 0.5000 (multiplicity 4)  4 Si 2.73
3 Si 0.2500 0.2500 0.7500 (multiplicity 4)  4 Ta 2.73, 4 U 2.73



Material: Hf2Tc2Ge
Method: DFT, PBE
State: optimized geometry

Raw total energy   -9.00 eV per atom
Magnetization   0.01 μB per formula unit

Unit cell a=3.4893 b=3.4893 c=15.5834 alpha=90.00 beta=90.00 gamma=90.00
Last column: nearest neighbours and their distance in Å.
Space group I4/mmm (No. 139)
Unique sites:
1 Hf 0.0000 0.0000 0.1008 (multiplicity 4)  4 Tc 2.91, 4 Ge 2.92, 1 Hf 3.14
2 Tc 0.0000 0.5000 0.2500 (multiplicity 4)  4 Tc 2.47
3 Ge 0.0000 0.0000 0.5000 (multiplicity 2)  8 Hf 2.92



Material: NaLaIn4Pd2
Method: DFT, PBE
State: optimized geometry

Raw total energy   -3.97 eV per atom
Magnetization   0.02 μB per formula unit

Unit cell a=7.9090 b=4.5499 c=10.4033 alpha=90.00 beta=90.00 gamma=90.00
Last column: nearest neighbours and their distance in Å.
Space group Amm2 (No. 38)
Unique sites:
1 Na 0.0000 0.0000 0.0000 (multiplicity 2)  1 Pd 2.89
2 La 0.5000 0.0000 0.1335 (multiplicity 2)  3 Pd 2.94-3.21
3 In 0.1906 0.0000 0.7147 (multiplicity 4)  3 Pd 2.81-2.83, 2 In 3.02-3.12
4 In 0.2918 0.0000 0.4248 (multiplicity 4)  3 Pd 2.77-2.91
5 Pd 0.0000 0.0000 0.2774 (multiplicity 2)  6 In 2.77-2.81, 1 Na 2.89
6 Pd 0.5000 0.0000 0.8507 (multiplicity 2)  6 In 2.83-2.91, 1 La 2.94